Entry 1:
# GGA-PBE AlS6Br, optimized geometry
data_AlS6Br
_chemical_formula_sum 'Al1 S6 Br1'
_space_group_name_H-M_alt 'P -1'
_space_group_IT_number 2
_cell_length_a 3.7296
_cell_length_b 3.7379
_cell_length_c 14.3571
_cell_angle_alpha 93.69
_cell_angle_beta 90.89
_cell_angle_gamma 119.85
loop_
_space_group_symop_operation_xyz
'x,y,z'
'-x,-y,-z'
loop_
_atom_site_label
_atom_site_fract_x
_atom_site_fract_y
_atom_site_fract_z
Al1 0.0000 0.0000 0.0000
S1 0.2515 0.5102 0.3468
S2 0.3354 0.3031 0.7440
S3 0.3425 0.6888 0.0858
Br1 0.5000 0.0000 0.5000
# - raw formation energy (eV/atom) = -0.09
# - M_tot (μB per cell) = 0.0
# - D(E_F) (states/eV/atom) = 0.31

Entry 2:
# GGA-PBE AlS2Br2, optimized geometry
data_AlS2Br2
_chemical_formula_sum 'Al4 S8 Br8'
_space_group_name_H-M_alt 'C 1 2/m 1'
_space_group_IT_number 12
_cell_length_a 8.0959
_cell_length_b 11.3574
_cell_length_c 8.1057
_cell_angle_alpha 90.00
_cell_angle_beta 116.99
_cell_angle_gamma 90.00
loop_
_space_group_symop_operation_xyz
'x,y,z'
'-x,-y,-z'
'-x,y,-z'
'x,-y,z'
'x+1/2,y+1/2,z'
'-x+1/2,-y+1/2,-z'
'-x+1/2,y+1/2,-z'
'x+1/2,-y+1/2,z'
loop_
_atom_site_label
_atom_site_fract_x
_atom_site_fract_y
_atom_site_fract_z
Al1 0.0000 0.1647 0.0000
S1 0.1379 0.0000 0.8916
S2 0.1423 0.0000 0.2316
Br1 0.0018 0.2922 0.7761
# - raw formation energy (eV/atom) = -0.50
# - M_tot (μB per cell) = 0.0

Entry 3:
# GGA-PBE AlSBr3, optimized geometry
data_AlSBr3
_chemical_formula_sum 'Al2 S2 Br6'
_space_group_name_H-M_alt 'P -3 m 1'
_space_group_IT_number 164
_space_group_name_Hall '-P 3 2"'
_cell_length_a 7.7027
_cell_length_b 7.7027
_cell_length_c 7.4776
_cell_angle_alpha 90.00
_cell_angle_beta 90.00
_cell_angle_gamma 120.00
loop_
_atom_site_label
_atom_site_fract_x
_atom_site_fract_y
_atom_site_fract_z
Al1 0.3333 0.6667 0.3361
S1 0.3333 0.6667 0.6450
Br1 0.1672 0.3343 0.2560
# - raw formation energy (eV/atom) = -0.42
# - M_tot (μB per cell) = 4.1
# - distance to the lowest polymorph of the same formula (meV/atom) = 0
# - D(E_F) (states/eV/atom) = 0.01

Entry 4:
# GGA-PBE Al2S8Br, optimized geometry
data_Al2S8Br
_chemical_formula_sum 'Al2 S8 Br1'
_space_group_name_H-M_alt 'P -1'
_space_group_IT_number 2
_cell_length_a 6.9979
_cell_length_b 7.0405
_cell_length_c 8.0568
_cell_angle_alpha 80.17
_cell_angle_beta 65.22
_cell_angle_gamma 66.71
loop_
_space_group_symop_operation_xyz
'x,y,z'
'-x,-y,-z'
loop_
_atom_site_label
_atom_site_fract_x
_atom_site_fract_y
_atom_site_fract_z
Al1 0.1335 0.3008 0.4337
S1 0.0568 0.4312 0.6973
S2 0.3502 0.7232 0.9085
S3 0.4590 0.4568 0.8040
S4 0.4808 0.0846 0.2538
Br1 0.0000 0.0000 0.5000
# - raw formation energy (eV/atom) = -0.33
# - M_tot (μB per cell) = 0.0
# - D(E_F) (states/eV/atom) = 0.45

Entry 5:
# GGA-PBE AlSBr, optimized geometry
data_AlSBr
_chemical_formula_sum 'Al4 S4 Br4'
_space_group_name_H-M_alt 'P c a 21'
_space_group_IT_number 29
_cell_length_a 6.5834
_cell_length_b 9.1999
_cell_length_c 6.0713
_cell_angle_alpha 90.00
_cell_angle_beta 90.00
_cell_angle_gamma 90.00
loop_
_space_group_symop_operation_xyz
'x,y,z'
'-x,-y,z+1/2'
'-x+1/2,y,z+1/2'
'x+1/2,-y,z'
loop_
_atom_site_label
_atom_site_fract_x
_atom_site_fract_y
_atom_site_fract_z
Al1 0.0835 0.1108 0.0000
S1 0.0853 0.0933 0.6204
Br1 0.0375 0.6704 0.6044
# - raw formation energy (eV/atom) = -1.10
# - M_tot (μB per cell) = 0.0
# - D(E_F) (states/eV/atom) = 0.00

Entry 6:
# GGA-PBE AlS2Br, optimized geometry
data_AlS2Br
_chemical_formula_sum 'Al4 S8 Br4'
_space_group_name_H-M_alt 'I -4 2 d'
_space_group_IT_number 122
_space_group_name_Hall 'I -4 2bw'
_cell_length_a 6.5784
_cell_length_b 6.5784
_cell_length_c 9.4007
_cell_angle_alpha 90.00
_cell_angle_beta 90.00
_cell_angle_gamma 90.00
loop_
_atom_site_label
_atom_site_fract_x
_atom_site_fract_y
_atom_site_fract_z
Al1 0.0000 0.0000 0.0000
S1 0.1587 0.2500 0.1250
Br1 0.0000 0.0000 0.5000
# - raw formation energy (eV/atom) = -0.18
# - M_tot (μB per cell) = 7.3
# - distance to the lowest polymorph of the same formula (meV/atom) = 393
# - D(E_F) (states/eV/atom) = 0.72

Entry 7:
# GGA-PBE AlSiSBr2, optimized geometry
data_AlSiSBr2
_chemical_formula_sum 'Al1 Si1 S1 Br2'
_space_group_name_H-M_alt 'P 4/m m m'
_space_group_IT_number 123
_space_group_name_Hall '-P 4 2'
_cell_length_a 5.3579
_cell_length_b 5.3579
_cell_length_c 4.4727
_cell_angle_alpha 90.00
_cell_angle_beta 90.00
_cell_angle_gamma 90.00
loop_
_atom_site_label
_atom_site_fract_x
_atom_site_fract_y
_atom_site_fract_z
Al1 0.0000 0.0000 0.0000
Si1 0.5000 0.5000 0.5000
S1 0.5000 0.5000 0.0000
Br1 0.0000 0.5000 0.5000
# - raw formation energy (eV/atom) = 0.00
# - M_tot (μB per cell) = 0.0
# - D(E_F) (states/eV/atom) = 0.20

Entry 8:
# GGA-PBE YAl2SBr, optimized geometry
data_YAl2SBr
_chemical_formula_sum 'Y1 Al2 S1 Br1'
_space_group_name_H-M_alt 'P 4/m m m'
_space_group_IT_number 123
_space_group_name_Hall '-P 4 2'
_cell_length_a 4.4949
_cell_length_b 4.4949
_cell_length_c 6.4297
_cell_angle_alpha 90.00
_cell_angle_beta 90.00
_cell_angle_gamma 90.00
loop_
_atom_site_label
_atom_site_fract_x
_atom_site_fract_y
_atom_site_fract_z
Y1 0.0000 0.0000 0.0000
Al1 0.0000 0.5000 0.5000
S1 0.5000 0.5000 0.5000
Br1 0.5000 0.5000 0.0000
# - raw formation energy (eV/atom) = 0.04
# - M_tot (μB per cell) = 0.0
# - D(E_F) (states/eV/atom) = 0.38